# 1
Here is a relaxed Ti13Co2 crystal from the Alexandria database. Energies are from PBE-GGA.

The structure belongs to space group P-1 (No. 2); the cell edges are 5.4004, 6.8859 and 7.5311 Å and the angles 116.48°, 92.06° and 100.23°. The distinct sites, in fractional coordinates, are Ti at (0.0000, 0.0000, 0.0000), Ti at (0.0376, 0.4448, 0.6705), Ti at (0.2017, 0.0150, 0.6379), Ti at (0.2450, 0.3966, 0.9998), Ti at (0.2586, 0.8527, 0.2188), Ti at (0.4263, 0.7997, 0.8474), Ti at (0.4746, 0.6540, 0.4233) and Co at (0.1822, 0.2522, 0.3338).

As for the energy relative to the elements: -0.057 eV per atom.

=====

# 2
Here is a relaxed Ti2Co7 crystal from the Alexandria database. Energies are from PBE-GGA.

The structure belongs to space group R-3m (No. 166, hexagonal axes); the cell edges are 4.6690, 4.6690 and 35.2549 Å and the angles 90.00°, 90.00° and 120.00°. The distinct sites, in fractional coordinates, are Ti at (0.0000, 0.0000, 0.0515), Ti at (0.0000, 0.0000, 0.1480), Co at (0.0000, 0.0000, 0.2771), Co at (0.0000, 0.0000, 0.3904), Co at (0.0000, 0.0000, 0.5000), Co at (0.0000, 0.5000, 0.0000) and Co at (0.0046, 0.5023, 0.8876).

As for the energy relative to the elements: -0.120 eV per atom.

=====

# 3
Here is a relaxed TiCo6 crystal from the Alexandria database. Energies are from PBE-GGA.

The structure belongs to space group Im-3m (No. 229); the cell edges are 5.9353, 5.9353 and 5.9353 Å and the angles 90.00°, 90.00° and 90.00°. The distinct sites, in fractional coordinates, are Ti at (0.0000, 0.0000, 0.0000) and Co at (0.0000, 0.2500, 0.5000).

As for the energy relative to the elements: 0.972 eV per atom.

=====

# 4
Here is a relaxed Ti7Co3 crystal from the Alexandria database. Energies are from PBE-GGA.

The structure belongs to space group P6_3mc (No. 186); the cell edges are 8.2424, 8.2424 and 5.2142 Å and the angles 90.00°, 90.00° and 120.00°. The distinct sites, in fractional coordinates, are Ti at (0.0730, 0.5365, 0.0000), Ti at (0.1314, 0.2627, 0.7098), Ti at (0.3333, 0.6667, 0.5229) and Co at (0.1910, 0.3819, 0.2591).

As for the energy relative to the elements: -0.214 eV per atom.

=====

# 5
Here is a relaxed Ti3TlCo crystal from the Alexandria database. Energies are from PBE-GGA.

The structure belongs to space group P2_1/m (No. 11); the cell edges are 5.9212, 4.3526 and 7.2656 Å and the angles 90.00°, 112.64° and 90.00°. The distinct sites, in fractional coordinates, are Ti at (0.1177, 0.2500, 0.4451), Ti at (0.2431, 0.2500, 0.8852), Ti at (0.2657, 0.7500, 0.2392), Tl at (0.4086, 0.7500, 0.6892) and Co at (0.0279, 0.2500, 0.1018).

The energy above the most stable polymorph in this dataset comes out at 0.00 eV per formula unit. As for the energy relative to the elements: -0.045 eV per atom.

=====

# 6
Here is a relaxed Ti2TlCo crystal from the Alexandria database. Energies are from PBE-GGA.

The structure belongs to space group Fm-3m (No. 225); the cell edges are 6.4555, 6.4555 and 6.4555 Å and the angles 90.00°, 90.00° and 90.00°. The distinct sites, in fractional coordinates, are Ti at (0.2500, 0.2500, 0.2500), Tl at (0.0000, 0.0000, 0.0000) and Co at (0.0000, 0.0000, 0.5000).

The energy above the most stable polymorph in this dataset comes out at 0.67 eV per formula unit. As for the energy relative to the elements: 0.095 eV per atom.